Record 1
! PBE-GGA BaScTe3Au, optimized geometry; values from VASP
! magnetization	0.00	μB/f.u.
! density	6864	kg/m3
! electronic total energy	-4.619	eV per atom
&SYSTEM
  ibrav = 0, nat = 12, ntyp = 4
/
ATOMIC_SPECIES
Ba 137.33 Ba.upf
Sc 44.96 Sc.upf
Te 127.60 Te.upf
Au 196.97 Au.upf
CELL_PARAMETERS angstrom
8.529 0.000 0.000
0.000 4.314 0.000
-3.233 0.000 10.022
ATOMIC_POSITIONS crystal
Ba 0.236 0.250 0.287
Ba 0.764 0.750 0.713
Sc 0.311 0.750 0.838
Sc 0.689 0.250 0.162
Te 0.086 0.250 0.866
Te 0.279 0.750 0.556
Te 0.442 0.750 0.133
Te 0.558 0.250 0.867
Te 0.721 0.250 0.444
Te 0.914 0.750 0.134
Au 0.078 0.250 0.602
Au 0.922 0.750 0.398


Record 2
! PBE-GGA OsPtPb2O6, optimized geometry; values from VASP
! magnetization	3.47	μB/f.u.
! density	11348	kg/m3
! electronic total energy	-6.088	eV per atom
&SYSTEM
  ibrav = 0, nat = 10, ntyp = 4
/
ATOMIC_SPECIES
Os 190.23 Os.upf
Pt 195.08 Pt.upf
Pb 207.20 Pb.upf
O 16.00 O.upf
CELL_PARAMETERS angstrom
-2.842 2.842 4.057
2.842 -2.842 4.057
2.842 2.842 -4.057
ATOMIC_POSITIONS crystal
Os 0.000 0.000 0.000
Pt 0.500 0.500 0.000
Pb 0.250 0.750 0.500
Pb 0.750 0.250 0.500
O 0.244 0.244 0.000
O 0.245 0.245 0.489
O 0.245 0.755 0.000
O 0.755 0.245 0.000
O 0.755 0.755 0.511
O 0.756 0.756 0.000


Record 3
! PBE-GGA GaHg4PC2, optimized geometry; values from VASP
! density	10386	kg/m3
! electronic total energy	-2.165	eV per atom
&SYSTEM
  ibrav = 0, nat = 8, ntyp = 4
/
ATOMIC_SPECIES
Ga 69.72 Ga.upf
Hg 200.59 Hg.upf
P 30.97 P.upf
C 12.01 C.upf
CELL_PARAMETERS angstrom
3.629 0.000 0.000
-1.815 3.143 0.000
0.000 0.000 12.994
ATOMIC_POSITIONS crystal
Ga 0.000 0.000 0.000
Hg 0.000 0.000 0.361
Hg 0.000 0.000 0.639
Hg 0.667 0.333 0.155
Hg 0.667 0.333 0.845
P 0.667 0.333 0.500
C 0.333 0.667 0.258
C 0.333 0.667 0.742


Record 4
! PBE-GGA Sm2IBrNCl, optimized geometry; values from VASP
! magnetization	0.00	μB/f.u.
! energy above the lowest structure with this stoichiometry	22	meV/atom
! density	5063	kg/m3
! electronic total energy	-5.586	eV per atom
&SYSTEM
  ibrav = 0, nat = 12, ntyp = 5
/
ATOMIC_SPECIES
Sm 150.36 Sm.upf
I 126.90 I.upf
Br 79.90 Br.upf
N 14.01 N.upf
Cl 35.45 Cl.upf
CELL_PARAMETERS angstrom
9.537 -1.997 0.000
9.537 1.997 0.000
-7.199 0.000 9.592
ATOMIC_POSITIONS crystal
Sm 0.072 0.072 0.458
Sm 0.359 0.359 0.209
Sm 0.641 0.641 0.791
Sm 0.928 0.928 0.542
I 0.268 0.268 0.365
I 0.732 0.732 0.635
Br 0.471 0.471 0.756
Br 0.529 0.529 0.244
N 0.077 0.077 0.655
N 0.923 0.923 0.345
Cl 0.175 0.175 0.998
Cl 0.825 0.825 0.002


Record 5
! PBE-GGA PuAsOs, optimized geometry; values from VASP
! magnetization	3.80	μB/f.u.
! density	13504	kg/m3
! electronic total energy	-9.483	eV per atom
&SYSTEM
  ibrav = 0, nat = 3, ntyp = 3
/
ATOMIC_SPECIES
Pu 244.00 Pu.upf
As 74.92 As.upf
Os 190.23 Os.upf
CELL_PARAMETERS angstrom
0.000 3.152 3.152
3.152 0.000 3.152
3.152 3.152 0.000
ATOMIC_POSITIONS crystal
Pu 0.000 0.000 0.000
As 0.250 0.250 0.250
Os 0.750 0.750 0.750


Record 6
! PBE-GGA Er2B, optimized geometry; values from VASP
! magnetization	0.00	μB/f.u.
! energy above the lowest structure with this stoichiometry	0	meV/atom
! density	3502	kg/m3
! electronic total energy	-4.122	eV per atom
&SYSTEM
  ibrav = 0, nat = 6, ntyp = 2
/
ATOMIC_SPECIES
Er 167.26 Er.upf
B 10.81 B.upf
CELL_PARAMETERS angstrom
0.000 5.471 5.471
5.471 0.000 5.471
5.471 5.471 0.000
ATOMIC_POSITIONS crystal
Er 0.000 0.000 0.000
Er 0.000 0.000 0.500
Er 0.000 0.500 0.000
Er 0.500 0.000 0.000
B 0.125 0.125 0.125
B 0.875 0.875 0.875